Below is crystalline KLa2Ta at its relaxed geometry, with properties calculated at the PBE level.

Cell and atoms, written as POSCAR:
```
KLa2Ta
1.0
-3.242 0.304 0.905
-0.628 -6.320 -0.129
1.534 -0.266 5.584
Ta La K
1 2 1
Cartesian
-0.854 0.019 3.245
-1.935 -3.008 0.388
0.000 0.000 0.000
0.453 -3.293 2.727
```

Calculated values
Formation energy from the elements: 103.6 kJ per mole of atoms

***

Below is crystalline Tl4I3Br2 at its relaxed geometry, with properties calculated at the PBE level.

Cell and atoms, written as POSCAR:
```
Tl4I3Br2
1.0
-5.285 3.222 3.410
-7.125 -2.920 -7.069
-3.594 -8.928 4.079
Tl Br I
8 4 6
Cartesian
-9.652 -6.987 1.021
-10.175 -3.585 -3.964
-8.207 -1.369 3.591
-5.829 -5.041 4.385
-5.581 -2.579 -4.877
-10.423 -6.047 5.298
-7.797 -7.258 -3.170
-6.352 -1.640 -0.601
-4.997 -3.012 1.831
-8.492 0.049 0.845
-11.007 -5.615 -1.410
-7.512 -8.676 -0.425
-7.109 -4.390 -1.995
-2.894 -6.660 3.198
-8.211 -0.500 -3.539
-8.895 -4.237 2.415
-7.793 -8.126 3.960
-13.110 -1.966 -2.777
```

Calculated values
Energy relative to the elements, uncorrected: -0.6016 eV per atom

***

Below is crystalline La2HgSbAs at its relaxed geometry, with properties calculated at the PBE level.

Cell and atoms, written as POSCAR:
```
La2HgSbAs
1.0
6.034 0.000 0.000
0.000 5.262 0.000
0.000 0.000 6.034
La Sb As Hg
2 1 1 1
Cartesian
3.017 0.000 0.000
0.000 0.000 3.017
0.000 0.000 0.000
0.000 2.631 0.000
3.017 2.631 3.017
```

Calculated values
Energy relative to the elements, uncorrected: -0.0571 eV per atom

***

Below is crystalline Sm2PaS3 at its relaxed geometry, with properties calculated at the PBE level.

Cell and atoms, written as POSCAR:
```
Sm2PaS3
1.0
0.903 -5.925 -3.316
2.465 0.783 6.342
-6.735 -0.510 1.443
S Sm Pa
6 4 2
Cartesian
-0.556 -0.254 2.695
-2.808 -5.335 1.767
0.865 -4.006 2.606
-4.239 -1.679 1.816
-2.290 -3.162 4.994
-1.072 -2.520 -0.469
-2.204 -5.062 -0.985
-1.169 -0.618 5.414
-1.677 -2.798 2.275
1.944 -1.453 3.123
-4.270 0.273 7.785
1.424 -3.689 -0.096
```

Calculated values
Energy relative to the elements, uncorrected: -1.8557 eV per atom

***

Below is crystalline Ta3Br at its relaxed geometry, with properties calculated at the PBE level.

Cell and atoms, written as POSCAR:
```
Ta3Br
1.0
9.469 -0.003 -0.002
8.970 3.033 -0.002
8.970 1.474 2.651
Ta Br
3 1
Cartesian
6.878 1.130 0.664
20.530 3.373 1.983
13.704 2.252 1.323
0.000 0.000 0.000
```

Calculated values
Energy relative to the elements, uncorrected: 0.3967 eV per atom

***

Below is crystalline SrTaPd3 at its relaxed geometry, with properties calculated at the PBE level.

Cell and atoms, written as POSCAR:
```
SrTaPd3
1.0
-2.217 -3.436 -2.815
0.593 -3.347 3.618
-4.402 1.279 1.905
Ta Pd Sr
1 3 1
Cartesian
-3.013 -2.752 1.354
-1.108 -1.718 -1.408
-2.201 0.640 0.953
0.297 -1.674 1.809
0.000 0.000 0.000
```

Calculated values
Formation energy from the elements: 155.9 kJ per mole of atoms

***

Below is crystalline ScNi at its relaxed geometry, with properties calculated at the PBE level.

Cell and atoms, written as POSCAR:
```
ScNi
1.0
-1.889 2.533 5.284
1.889 -2.533 5.284
1.889 2.533 -5.284
Sc Ni
3 3
Cartesian
1.889 0.214 0.000
0.000 1.441 2.250
1.889 -1.092 3.034
0.000 3.870 1.196
0.000 0.140 5.284
1.889 1.336 4.087
```

Calculated values
Formation energy from the elements: -35.2 kJ per mole of atoms

***

Below is crystalline TaPtW2N at its relaxed geometry, with properties calculated at the PBE level.

Cell and atoms, written as POSCAR:
```
TaPtW2N
1.0
-1.673 -2.541 -2.770
3.454 -2.235 -0.036
-1.524 -2.406 3.127
Ta W N Pt
1 2 1 1
Cartesian
-0.762 -1.203 1.564
-0.837 -1.270 -1.385
1.727 -1.117 -0.018
0.000 0.000 0.000
0.129 -3.591 0.161
```

Calculated values
Energy relative to the elements, uncorrected: -0.3182 eV per atom

***

One value per record, in order, for D(E_F): 5.58 4.87 4.30 5.07 6.55 13.23 1.03 3.30 states/eV/f.u..